The following is a PBE-GGA calculation of a relaxed Ho5AlSe4 crystal, from Alexandria.

Total DFT energy (no corrections) ... -5.5232 eV/atom

Structure (POSCAR):
```
Ho5AlSe4
1.0
-3.915 3.187 2.815
-1.220 -2.148 6.670
2.767 5.517 3.535
Ho Al Se
5 1 4
direct
0.903 0.395 0.801
0.298 0.801 0.605
0.704 0.199 0.395
0.099 0.605 0.199
0.501 0.000 0.000
0.001 0.000 0.000
0.402 0.401 0.796
0.803 0.796 0.599
0.199 0.204 0.401
0.599 0.599 0.204
```